## 1
YPb2Br | PBE | optimized geometry

Cell lengths 3.910, 3.860, 9.287 Å; angles 77.92, 90.00, 90.00 degrees
Sites, in units of the cell vectors:
Pb (0.500, 0.305, 0.265)
Pb (0.000, 0.905, 0.067)
Br (0.500, 0.589, 0.695)
Y (0.000, 0.701, 0.473)

---

## 2
YPb2Br | PBE | optimized geometry

Cell lengths 3.691, 3.688, 9.258 Å; angles 90.00, 90.00, 90.00 degrees
Sites, in units of the cell vectors:
Pb (0.000, 0.000, 0.056)
Pb (0.500, 0.500, 0.271)
Br (0.500, 0.500, 0.675)
Y (0.000, 0.000, 0.498)

---

Which of them is the most stable? Correct choice: 2.

---

## 1
YPbBr3 | PBE | optimized geometry

Cell lengths 5.873, 5.873, 5.873 Å; angles 90.00, 90.00, 90.00 degrees
Last column: magnetic moment on the atom in μB.
Sites, in units of the cell vectors:
Y (0.500, 0.500, 0.500)  0.82
Pb (0.000, 0.000, 0.000)  0.01
Br (0.500, 0.000, 0.000)  0.02
Br (0.000, 0.500, 0.000)  0.02
Br (0.000, 0.000, 0.500)  0.02

---

## 2
YPbBr3 | PBE | optimized geometry

Cell lengths 5.599, 5.599, 5.599 Å; angles 90.00, 90.00, 90.00 degrees
Last column: magnetic moment on the atom in μB.
Sites, in units of the cell vectors:
Br (0.000, 0.500, 0.000)  0.01
Br (0.500, 0.000, 0.000)  0.01
Br (0.000, 0.000, 0.500)  0.01
Pb (0.500, 0.500, 0.500)  0.15
Y (0.000, 0.000, 0.000)  -0.05

---

Which of them is the most stable? Correct choice: 2.

---

## 1
ZnPb2Br | PBE | optimized geometry

Cell lengths 5.776, 5.776, 5.776 Å; angles 129.51, 129.51, 74.20 degrees
Sites, in units of the cell vectors:
Zn (0.250, 0.750, 0.500)
Pb (0.000, 0.000, 0.000)
Pb (0.500, 0.500, 0.000)
Br (0.750, 0.250, 0.500)

---

## 2
ZnPb2Br | PBE | optimized geometry

Cell lengths 5.741, 5.741, 5.928 Å; angles 75.81, 75.81, 36.71 degrees
Sites, in units of the cell vectors:
Pb (0.023, 0.023, 0.994)
Pb (0.477, 0.477, 0.506)
Zn (0.750, 0.750, 0.750)
Br (0.250, 0.250, 0.250)

---

Which of them is the most stable? Correct choice: 2.

---

## 1
ZnPbBr2 | PBE | optimized geometry

Cell lengths 7.340, 7.340, 7.340 Å; angles 149.61, 139.25, 51.67 degrees
Sites, in units of the cell vectors:
Zn (0.693, 0.193, 0.500)
Br (0.308, 0.808, 0.500)
Br (0.016, 0.016, 0.000)
Pb (0.483, 0.483, 0.000)

---

## 2
ZnPbBr2 | PBE | optimized geometry

Cell lengths 5.122, 5.122, 4.274 Å; angles 90.00, 90.00, 90.00 degrees
Sites, in units of the cell vectors:
Pb (0.500, 0.000, 0.500)
Br (0.500, 0.500, 0.000)
Br (0.000, 0.000, 0.000)
Zn (0.000, 0.500, 0.500)

---

Which of them is the most stable? Correct choice: 1.

---

## 1
ZnPb2Br6 | PBE | optimized geometry

Cell lengths 6.892, 6.892, 13.077 Å; angles 90.00, 90.00, 90.00 degrees
Sites, in units of the cell vectors:
Zn (0.500, 0.500, 0.000)
Zn (0.000, 0.000, 0.500)
Br (0.219, 0.781, 0.000)
Br (0.315, 0.315, 0.147)
Br (0.815, 0.185, 0.647)
Br (0.185, 0.815, 0.353)
Br (0.281, 0.281, 0.500)
Br (0.315, 0.315, 0.853)
Br (0.685, 0.685, 0.853)
Br (0.719, 0.719, 0.500)
Br (0.185, 0.815, 0.647)
Br (0.685, 0.685, 0.147)
Br (0.815, 0.185, 0.353)
Br (0.781, 0.219, 0.000)
Pb (0.000, 0.000, 0.165)
Pb (0.000, 0.000, 0.835)
Pb (0.500, 0.500, 0.335)
Pb (0.500, 0.500, 0.665)

---

## 2
ZnPb2Br6 | PBE | optimized geometry

Cell lengths 6.099, 11.264, 11.264 Å; angles 107.86, 104.51, 104.51 degrees
Sites, in units of the cell vectors:
Br (0.102, 0.545, 0.702)
Br (0.889, 0.116, 0.637)
Br (0.611, 0.363, 0.884)
Br (0.602, 0.702, 0.545)
Br (0.620, 0.021, 0.201)
Br (0.880, 0.799, 0.979)
Br (0.380, 0.979, 0.799)
Br (0.111, 0.884, 0.363)
Br (0.120, 0.201, 0.021)
Br (0.898, 0.455, 0.298)
Br (0.398, 0.298, 0.455)
Br (0.389, 0.637, 0.116)
Zn (0.250, 0.173, 0.827)
Zn (0.750, 0.827, 0.173)
Pb (0.380, 0.451, 0.249)
Pb (0.620, 0.549, 0.751)
Pb (0.120, 0.751, 0.549)
Pb (0.880, 0.249, 0.451)

---

Which of them is the most stable? Correct choice: 2.

---

## 1
Zn3PbBr | PBE | optimized geometry

Cell lengths 5.231, 5.231, 5.231 Å; angles 90.00, 90.00, 90.00 degrees
Sites, in units of the cell vectors:
Zn (0.500, 0.000, 0.000)
Zn (0.000, 0.500, 0.000)
Zn (0.000, 0.000, 0.500)
Br (0.000, 0.000, 0.000)
Pb (0.500, 0.500, 0.500)

---

## 2
Zn3PbBr | PBE | optimized geometry

Cell lengths 5.384, 5.384, 5.384 Å; angles 90.00, 90.00, 90.00 degrees
Sites, in units of the cell vectors:
Pb (0.000, 0.000, 0.000)
Br (0.500, 0.500, 0.500)
Zn (0.000, 0.500, 0.000)
Zn (0.000, 0.000, 0.500)
Zn (0.500, 0.000, 0.000)

---

Which of them is the most stable? Correct choice: 2.

---

## 1
Zn2PbBr6 | PBE | optimized geometry

Cell lengths 4.092, 7.240, 11.390 Å; angles 76.26, 79.65, 73.59 degrees
Sites, in units of the cell vectors:
Br (0.684, 0.744, 0.889)
Br (0.006, 0.237, 0.752)
Br (0.678, 0.225, 0.419)
Br (0.322, 0.775, 0.581)
Br (0.994, 0.763, 0.248)
Br (0.316, 0.256, 0.111)
Zn (0.166, 0.885, 0.782)
Zn (0.834, 0.115, 0.218)
Pb (0.000, 0.500, 0.500)

---

## 2
Zn2PbBr6 | PBE | optimized geometry

Cell lengths 7.127, 9.446, 9.446 Å; angles 85.90, 81.20, 81.20 degrees
Sites, in units of the cell vectors:
Br (0.599, 0.284, 0.440)
Br (0.846, 0.204, 0.042)
Br (0.401, 0.716, 0.560)
Br (0.901, 0.560, 0.716)
Br (0.346, 0.042, 0.204)
Br (0.888, 0.861, 0.402)
Br (0.099, 0.440, 0.284)
Br (0.154, 0.796, 0.958)
Br (0.388, 0.402, 0.861)
Br (0.654, 0.958, 0.796)
Br (0.112, 0.139, 0.598)
Br (0.612, 0.598, 0.139)
Zn (0.297, 0.229, 0.381)
Zn (0.203, 0.619, 0.771)
Zn (0.797, 0.381, 0.229)
Zn (0.703, 0.771, 0.619)
Pb (0.750, 0.875, 0.125)
Pb (0.250, 0.125, 0.875)

---

Which of them is the most stable? Correct choice: 2.

---

## 1
Zn2PbBr2 | PBE | optimized geometry

Cell lengths 9.408, 9.408, 3.596 Å; angles 90.00, 90.00, 90.00 degrees
Sites, in units of the cell vectors:
Zn (0.589, 0.911, 0.500)
Zn (0.089, 0.589, 0.500)
Zn (0.411, 0.089, 0.500)
Zn (0.911, 0.411, 0.500)
Br (0.776, 0.276, 0.000)
Br (0.276, 0.224, 0.000)
Br (0.724, 0.776, 0.000)
Br (0.224, 0.724, 0.000)
Pb (0.000, 0.000, 0.000)
Pb (0.500, 0.500, 0.000)

---

## 2
Zn2PbBr2 | PBE | optimized geometry

Cell lengths 3.753, 3.753, 10.145 Å; angles 79.34, 79.34, 90.00 degrees
Sites, in units of the cell vectors:
Zn (0.750, 0.250, 0.500)
Zn (0.250, 0.750, 0.500)
Br (0.594, 0.594, 0.812)
Br (0.406, 0.406, 0.188)
Pb (0.000, 0.000, 0.000)

---

Which of them is the most stable? Correct choice: 2.